[1]
DFT (PBE-GGA) results for an optimized crystal structure of Cd2CoBiPt.

CIF file:
```
data_Cd2CoBiPt
_space_group_name_H-M_alt 'P 4/m m m'
_space_group_IT_number 123
_space_group_name_Hall '-P 4 2'
_cell_length_a 5.1594
_cell_length_b 5.1594
_cell_length_c 4.7622
_cell_angle_alpha 90.00
_cell_angle_beta 90.00
_cell_angle_gamma 90.00
loop_
_atom_site_label
_atom_site_fract_x
_atom_site_fract_y
_atom_site_fract_z
_atom_site_occupancy
Cd1 0.0000 0.5000 0.0000 1
Co1 0.0000 0.0000 0.5000 1
Bi1 0.5000 0.5000 0.5000 1
Pt1 0.0000 0.0000 0.0000 1
```

Properties
**Energy relative to the elements**: 461.2 meV per atom

[2]
DFT (PBE-GGA) results for an optimized crystal structure of Y2ZrReRu.

CIF file:
```
data_Y2ZrReRu
_space_group_name_H-M_alt 'P 4/m m m'
_space_group_IT_number 123
_space_group_name_Hall '-P 4 2'
_cell_length_a 5.3240
_cell_length_b 5.3240
_cell_length_c 4.5344
_cell_angle_alpha 90.00
_cell_angle_beta 90.00
_cell_angle_gamma 90.00
loop_
_atom_site_label
_atom_site_fract_x
_atom_site_fract_y
_atom_site_fract_z
_atom_site_occupancy
Y1 0.0000 0.5000 0.0000 1
Zr1 0.0000 0.0000 0.0000 1
Re1 0.5000 0.5000 0.5000 1
Ru1 0.0000 0.0000 0.5000 1
```

Properties
**Energy relative to the elements**: 1647.5 meV per atom

[3]
DFT (PBE-GGA) results for an optimized crystal structure of Hf2NbGaH.

CIF file:
```
data_Hf2NbGaH
_space_group_name_H-M_alt 'P 4/m m m'
_space_group_IT_number 123
_space_group_name_Hall '-P 4 2'
_cell_length_a 4.4950
_cell_length_b 4.4950
_cell_length_c 3.8870
_cell_angle_alpha 90.00
_cell_angle_beta 90.00
_cell_angle_gamma 90.00
loop_
_atom_site_label
_atom_site_fract_x
_atom_site_fract_y
_atom_site_fract_z
_atom_site_occupancy
Hf1 0.0000 0.5000 0.0000 1
Nb1 0.0000 0.0000 0.5000 1
Ga1 0.5000 0.5000 0.5000 1
H1 0.0000 0.0000 0.0000 1
```

Properties
**Raw total energy**: -7.574 eV per atom

[4]
DFT (PBE-GGA) results for an optimized crystal structure of CrP2S6.

CIF file:
```
data_CrP2S6
_space_group_name_H-M_alt 'R 3'
_space_group_IT_number 146
_space_group_name_Hall 'R 3'
_cell_length_a 5.9314
_cell_length_b 5.9314
_cell_length_c 21.4031
_cell_angle_alpha 90.00
_cell_angle_beta 90.00
_cell_angle_gamma 120.00
loop_
_atom_site_label
_atom_site_fract_x
_atom_site_fract_y
_atom_site_fract_z
_atom_site_occupancy
Cr1 0.0000 0.0000 0.0000 1
P1 0.0000 0.0000 0.6162 1
P2 0.0000 0.0000 0.7173 1
S1 0.0442 0.3534 0.5918 1
S2 0.0445 0.6909 0.7415 1
```

Properties
**E_form (uncorrected)**: -0.28 eV/atom

[5]
DFT (PBE-GGA) results for an optimized crystal structure of LiCeMg2Ga4.

CIF file:
```
data_LiCeMg2Ga4
_space_group_name_H-M_alt 'R -3 m'
_space_group_IT_number 166
_space_group_name_Hall '-R 3 2"'
_cell_length_a 4.7007
_cell_length_b 4.7007
_cell_length_c 24.7474
_cell_angle_alpha 90.00
_cell_angle_beta 90.00
_cell_angle_gamma 120.00
loop_
_atom_site_label
_atom_site_fract_x
_atom_site_fract_y
_atom_site_fract_z
_atom_site_occupancy
Li1 0.0000 0.0000 0.0000 1
Ce1 0.0000 0.0000 0.5000 1
Mg1 0.0000 0.0000 0.2540 1
Ga1 0.0000 0.0000 0.1126 1
Ga2 0.0000 0.0000 0.3707 1
```

Properties
**Energy relative to the elements**: -313.6 meV per atom

[6]
DFT (PBE-GGA) results for an optimized crystal structure of AgBi2Te2.

CIF file:
```
data_AgBi2Te2
_space_group_name_H-M_alt 'P 4/m b m'
_space_group_IT_number 127
_space_group_name_Hall '-P 4 2ab'
_cell_length_a 8.1651
_cell_length_b 8.1651
_cell_length_c 4.6734
_cell_angle_alpha 90.00
_cell_angle_beta 90.00
_cell_angle_gamma 90.00
loop_
_atom_site_label
_atom_site_fract_x
_atom_site_fract_y
_atom_site_fract_z
_atom_site_occupancy
Ag1 0.0000 0.0000 0.0000 1
Bi1 0.1391 0.3609 0.5000 1
Te1 0.1769 0.6769 0.0000 1
```

Properties
**Energy above the lowest structure with this stoichiometry**: 0.0626 eV/atom
**E_form (uncorrected)**: 0.17 eV/atom

[7]
DFT (PBE-GGA) results for an optimized crystal structure of Nd12Ho7Tl.

CIF file:
```
data_Nd12Ho7Tl
_space_group_name_H-M_alt 'R -3'
_space_group_IT_number 148
_space_group_name_Hall '-R 3'
_cell_length_a 15.0513
_cell_length_b 15.0513
_cell_length_c 10.2610
_cell_angle_alpha 90.00
_cell_angle_beta 90.00
_cell_angle_gamma 120.00
loop_
_atom_site_label
_atom_site_fract_x
_atom_site_fract_y
_atom_site_fract_z
_atom_site_occupancy
Nd1 0.0419 0.1892 0.2502 1
Nd2 0.0465 0.2517 0.5743 1
Ho1 0.0000 0.0000 0.5000 1
Ho2 0.0654 0.2399 0.9269 1
Tl1 0.0000 0.0000 0.0000 1
```

Properties
**Energy relative to the elements**: 99.6 meV per atom

[8]
DFT (PBE-GGA) results for an optimized crystal structure of CdPIO2.

CIF file:
```
data_CdPIO2
_space_group_name_H-M_alt 'P 4/m m m'
_space_group_IT_number 123
_space_group_name_Hall '-P 4 2'
_cell_length_a 4.1238
_cell_length_b 4.1238
_cell_length_c 6.2921
_cell_angle_alpha 90.00
_cell_angle_beta 90.00
_cell_angle_gamma 90.00
loop_
_atom_site_label
_atom_site_fract_x
_atom_site_fract_y
_atom_site_fract_z
_atom_site_occupancy
Cd1 0.0000 0.0000 0.0000 1
P1 0.0000 0.0000 0.5000 1
I1 0.5000 0.5000 0.5000 1
O1 0.0000 0.5000 0.0000 1
```

Properties
**Energy above the lowest structure with this stoichiometry**: 0.6230 eV/atom
**E_form (uncorrected)**: 0.51 eV/atom

[9]
DFT (PBE-GGA) results for an optimized crystal structure of YThC.

CIF file:
```
data_YThC
_space_group_name_H-M_alt 'C 1 2/m 1'
_space_group_IT_number 12
_cell_length_a 14.0451
_cell_length_b 3.6175
_cell_length_c 6.2693
_cell_angle_alpha 90.00
_cell_angle_beta 116.44
_cell_angle_gamma 90.00
loop_
_space_group_symop_operation_xyz
'x,y,z'
'-x,-y,-z'
'-x,y,-z'
'x,-y,z'
'x+1/2,y+1/2,z'
'-x+1/2,-y+1/2,-z'
'-x+1/2,y+1/2,-z'
'x+1/2,-y+1/2,z'
loop_
_atom_site_label
_atom_site_fract_x
_atom_site_fract_y
_atom_site_fract_z
_atom_site_occupancy
Y1 0.1436 0.0000 0.4788 1
Th1 0.1320 0.5000 0.9630 1
C1 0.2465 0.0000 0.2381 1
```

Properties
**Energy relative to the elements**: -231.8 meV per atom
**Energy above the lowest structure with this stoichiometry**: 0.0000 eV/atom

[10]
DFT (PBE-GGA) results for an optimized crystal structure of VGeI2.

CIF file:
```
data_VGeI2
_space_group_name_H-M_alt 'I -4 2 d'
_space_group_IT_number 122
_space_group_name_Hall 'I -4 2bw'
_cell_length_a 7.9906
_cell_length_b 7.9906
_cell_length_c 7.1576
_cell_angle_alpha 90.00
_cell_angle_beta 90.00
_cell_angle_gamma 90.00
loop_
_atom_site_label
_atom_site_fract_x
_atom_site_fract_y
_atom_site_fract_z
_atom_site_occupancy
V1 0.0000 0.0000 0.0000 1
Ge1 0.0000 0.0000 0.5000 1
I1 0.2127 0.2500 0.1250 1
```

Properties
**Energy above the lowest structure with this stoichiometry**: 0.0000 eV/atom
**E_form (uncorrected)**: 0.43 eV/atom

[11]
DFT (PBE-GGA) results for an optimized crystal structure of NaSi2HgS.

CIF file:
```
data_NaSi2HgS
_space_group_name_H-M_alt 'P 4/m m m'
_space_group_IT_number 123
_space_group_name_Hall '-P 4 2'
_cell_length_a 5.1170
_cell_length_b 5.1170
_cell_length_c 5.1032
_cell_angle_alpha 90.00
_cell_angle_beta 90.00
_cell_angle_gamma 90.00
loop_
_atom_site_label
_atom_site_fract_x
_atom_site_fract_y
_atom_site_fract_z
_atom_site_occupancy
Na1 0.0000 0.0000 0.0000 1
Si1 0.0000 0.5000 0.0000 1
Hg1 0.0000 0.0000 0.5000 1
S1 0.5000 0.5000 0.5000 1
```

Properties
**Energy above the lowest structure with this stoichiometry**: 0.9051 eV/atom
**E_form (uncorrected)**: 1.32 eV/atom

[12]
DFT (PBE-GGA) results for an optimized crystal structure of Li2InReN.

CIF file:
```
data_Li2InReN
_space_group_name_H-M_alt 'P 4/m m m'
_space_group_IT_number 123
_space_group_name_Hall '-P 4 2'
_cell_length_a 4.1753
_cell_length_b 4.1753
_cell_length_c 3.9131
_cell_angle_alpha 90.00
_cell_angle_beta 90.00
_cell_angle_gamma 90.00
loop_
_atom_site_label
_atom_site_fract_x
_atom_site_fract_y
_atom_site_fract_z
_atom_site_occupancy
Li1 0.0000 0.5000 0.0000 1
In1 0.0000 0.0000 0.5000 1
Re1 0.5000 0.5000 0.5000 1
N1 0.5000 0.5000 0.0000 1
```

Properties
**E_form (uncorrected)**: -0.13 eV/atom